The following is a DFT calculation (meta-GGA SCAN) of a PBEsol-optimized structure of Te2Pt2Pb.

Lattice parameters (Å, degrees): 3.8921 3.8921 15.4412 90.00 90.00 90.00
Space group I4/mmm (No. 139)
Inequivalent atoms, fractional coordinates:
Te1 0.0000 0.0000 0.1262 [4 per cell]
Pt1 0.0000 0.5000 0.2500 [4 per cell]
Pb1 0.0000 0.0000 0.5000 [2 per cell]

Results
Formation energy from raw total energies   -0.13 eV per atom
Spin magnetization   0.00 μB/cell
Crystal system   tetragonal